# 1
# LiCuMo, optimized geometry, DFT GGA-PBE
# Formation energy ... 299 meV/atom
# Polymorph energy (0 for the lowest one) ... 0.140 eV per atom
data_LiCuMo
_space_group_name_H-M_alt 'P 3 m 1'
_space_group_IT_number 156
_cell_length_a 2.6717
_cell_length_b 2.6717
_cell_length_c 7.0279
_cell_angle_alpha 90.00
_cell_angle_beta 90.00
_cell_angle_gamma 120.00
loop_
_space_group_symop_operation_xyz
'x,y,z'
'-y,x-y,z'
'-x+y,-x,z'
'-y,-x,z'
'-x+y,y,z'
'x,x-y,z'
loop_
_atom_site_label
_atom_site_type_symbol
_atom_site_fract_x
_atom_site_fract_y
_atom_site_fract_z
Li1 Li 0.0000 0.0000 0.0000
Cu1 Cu 0.6667 0.3333 0.6845
Mo1 Mo 0.3333 0.6667 0.3623


# 2
# CeZn2Bi, optimized geometry, DFT GGA-PBE
# Formation energy ... -307 meV/atom
data_CeZn2Bi
_space_group_name_H-M_alt 'P 4/m m m'
_space_group_IT_number 123
_space_group_name_Hall '-P 4 2'
_cell_length_a 4.507
_cell_length_b 4.507
_cell_length_c 4.655
_cell_angle_alpha 90.00
_cell_angle_beta 90.00
_cell_angle_gamma 90.00
loop_
_atom_site_label
_atom_site_type_symbol
_atom_site_fract_x
_atom_site_fract_y
_atom_site_fract_z
Ce1 Ce 0.000 0.000 0.000
Zn1 Zn 0.000 0.500 0.500
Bi1 Bi 0.500 0.500 0.000